(1)
The following is a DFT calculation (PBE) of Be2Cd2W after structural relaxation.

DOS at the Fermi energy ... 1.56 states/eV per cell
Formation energy from the elements ... 680 meV/atom
Relative energy among the computed polymorphs ... 123.9 meV per atom
Mass density ... 9.72 g cm⁻³
V ... 14.58 A^3/atom

```
Be2Cd2W
1.0
3.7502 0.0000 0.0000
0.0000 3.7502 0.0000
0.0000 0.0000 10.3681
Be Cd W
4 4 2
Direct
0.0000 0.0000 0.0906
0.0000 0.0000 0.9094
0.5000 0.5000 0.4094
0.5000 0.5000 0.5906
0.0000 0.5000 0.2500
0.0000 0.5000 0.7500
0.5000 0.0000 0.2500
0.5000 0.0000 0.7500
0.0000 0.0000 0.5000
0.5000 0.5000 0.0000
```

=====

(2)
The following is a DFT calculation (PBE) of Ho4Te3Ru after structural relaxation.

DOS at the Fermi energy ... 8.61 states/eV per cell
Mass density ... 8.38 g cm⁻³
V ... 28.32 A^3/atom
Raw formation energy ... -1.029 eV per atom

```
Ho4Te3Ru
1.0
8.8459 0.0000 0.0000
0.0000 12.2539 0.0000
0.0000 0.0000 4.1796
Ho Te Ru
8 6 2
Direct
0.0000 0.2179 0.0000
0.0000 0.7821 0.0000
0.2151 0.0000 0.5000
0.2849 0.5000 0.5000
0.5000 0.2821 0.0000
0.5000 0.7179 0.0000
0.7151 0.5000 0.5000
0.7849 0.0000 0.5000
0.0000 0.5000 0.0000
0.2500 0.2500 0.5000
0.2500 0.7500 0.5000
0.5000 0.0000 0.0000
0.7500 0.2500 0.5000
0.7500 0.7500 0.5000
0.0000 0.0000 0.0000
0.5000 0.5000 0.0000
```

=====

(3)
The following is a DFT calculation (PBE) of CoRh after structural relaxation.

DOS at the Fermi energy ... 16.51 states/eV per cell
Formation energy from the elements ... 59 meV/atom
Mass density ... 10.54 g cm⁻³
V ... 12.75 A^3/atom

```
CoRh
1.0
8.7160 0.0000 0.0000
0.0000 2.6585 0.0000
-3.0212 0.0000 6.6034
Co Rh
6 6
Direct
0.0000 0.0000 0.0000
0.1683 0.5000 0.8504
0.3317 0.0000 0.1496
0.5000 0.5000 0.0000
0.6683 0.0000 0.8504
0.8317 0.5000 0.1496
0.0000 0.0000 0.5000
0.1652 0.5000 0.3193
0.3348 0.0000 0.6807
0.5000 0.5000 0.5000
0.6652 0.0000 0.3193
0.8348 0.5000 0.6807
```

=====

(4)
The following is a DFT calculation (PBE) of RbTiGa2O6 after structural relaxation.

Mass density ... 3.70 g cm⁻³
V ... 16.55 A^3/atom
Raw formation energy ... -1.982 eV per atom

```
RbTiGa2O6
1.0
4.5744 -6.1550 0.0000
4.5744 6.1550 0.0000
-2.3488 0.0000 5.8784
Rb Ti Ga O
2 2 4 12
Direct
0.1004 0.8996 0.7500
0.8996 0.1004 0.2500
0.2005 0.7995 0.2500
0.7995 0.2005 0.7500
0.2876 0.4563 0.8703
0.4563 0.2876 0.3703
0.5437 0.7124 0.6297
0.7124 0.5437 0.1297
0.0499 0.2590 0.7500
0.2252 0.6629 0.9930
0.2590 0.0499 0.2500
0.3371 0.7748 0.5070
0.3606 0.4260 0.5879
0.4260 0.3606 0.0879
0.5740 0.6394 0.9121
0.6394 0.5740 0.4121
0.6629 0.2252 0.4930
0.7410 0.9501 0.7500
0.7748 0.3371 0.0070
0.9501 0.7410 0.2500
```